Entry 1:
Crystalline AcErZnPt at its relaxed geometry. Source: the Alexandria database, functional PBE.

Unit cell a=5.2073 b=5.2073 c=5.2073 alpha=60.00 beta=60.00 gamma=60.00
Sites, in units of the cell vectors:
1 Zn 0.7500 0.7500 0.7500
2 Pt 0.2500 0.2500 0.2500
3 Er 0.5000 0.5000 0.5000
4 Ac 0.0000 0.0000 0.0000

Entry 2:
Crystalline AcErZn2Pt2 at its relaxed geometry. Source: the Alexandria database, functional PBE.

Unit cell a=4.5222 b=4.5222 c=7.3943 alpha=90.00 beta=90.00 gamma=120.00
Sites, in units of the cell vectors:
1 Pt 0.6667 0.3333 0.7104
2 Zn 0.3333 0.6667 0.7034
3 Er 0.0000 0.0000 0.5000
4 Pt 0.3333 0.6667 0.2896
5 Zn 0.6667 0.3333 0.2966
6 Ac 0.0000 0.0000 0.0000

Entry 3:
Crystalline Ac2ErZn3Pt4 at its relaxed geometry. Source: the Alexandria database, functional PBE.

Unit cell a=4.3138 b=4.3138 c=11.6729 alpha=90.00 beta=90.00 gamma=90.00
Sites, in units of the cell vectors:
1 Zn 0.0000 0.0000 0.5000
2 Pt 0.0000 0.0000 0.0000
3 Ac 0.5000 0.0000 0.2276
4 Er 0.5000 0.5000 0.5000
5 Pt 0.0000 0.5000 0.3452
6 Pt 0.5000 0.0000 0.6548
7 Zn 0.0000 0.5000 0.1215
8 Pt 0.5000 0.5000 0.0000
9 Ac 0.0000 0.5000 0.7724
10 Zn 0.5000 0.0000 0.8785

Number 1: DFT formation energy -0.637 eV per atom, calculated density 10.890 g/cm3, calculated total energy -4.633 eV per atom. Number 2: DFT formation energy -0.908 eV per atom, calculated density 11.605 g/cm3, calculated total energy -4.791 eV per atom. Number 3: DFT formation energy -0.864 eV per atom, calculated density 12.215 g/cm3, calculated total energy -4.940 eV per atom.